1.
! PBE LiCo2Te, optimized geometry; values from VASP
&SYSTEM
  ibrav = 0, nat = 4, ntyp = 3
/
ATOMIC_SPECIES
Li 6.94 Li.upf
Co 58.93 Co.upf
Te 127.60 Te.upf
ATOMIC_POSITIONS angstrom
Li 0.0000 0.0000 0.0000
Co 0.0000 1.9173 1.7826
Co 1.9173 0.0000 1.7826
Te 1.9173 1.9173 0.0000
CELL_PARAMETERS angstrom
3.8347 0.0000 0.0000
0.0000 3.8347 0.0000
0.0000 0.0000 3.5653
! **Space-group type**: P4/mmm (123)
! **Calculated volume**: 52.4 Å³/f.u.
! **E_tot**: -4.7739 eV/atom

***

2.
! PBE CaThHgAu, optimized geometry; values from VASP
&SYSTEM
  ibrav = 0, nat = 4, ntyp = 4
/
ATOMIC_SPECIES
Ca 40.08 Ca.upf
Th 232.04 Th.upf
Hg 200.59 Hg.upf
Au 196.97 Au.upf
ATOMIC_POSITIONS angstrom
Ca 0.0000 0.0000 0.0000
Th 0.0000 0.0000 3.7736
Hg 1.8138 1.8138 5.9454
Au 1.8138 1.8138 1.9046
CELL_PARAMETERS angstrom
3.6276 0.0000 0.0000
0.0000 3.6276 0.0000
0.0000 0.0000 7.9880
! **Space-group type**: P4mm (99)
! **Calculated volume**: 105.1 Å³/f.u.
! **Formation enthalpy at 0 K**: -0.524 eV/atom
! **Energy above the most stable polymorph in this dataset**: 0.000 eV/atom

***

3.
! PBE Ce2UP3, optimized geometry; values from VASP
&SYSTEM
  ibrav = 0, nat = 6, ntyp = 3
/
ATOMIC_SPECIES
Ce 140.12 Ce.upf
U 238.03 U.upf
P 30.97 P.upf
ATOMIC_POSITIONS angstrom
Ce 0.0000 0.0000 2.0457
Ce 0.0000 0.0000 10.1261
U 0.0000 0.0000 6.0859
P 2.0106 0.0000 0.0000
P 2.0106 0.0000 4.1419
P 0.0000 2.8532 1.9440
CELL_PARAMETERS angstrom
-2.0106 2.8532 6.0859
2.0106 -2.8532 6.0859
2.0106 2.8532 -6.0859
! **Space-group type**: Immm (71)
! **Calculated volume**: 139.6 Å³/f.u.
! **Formation enthalpy at 0 K**: -1.304 eV/atom
! **Energy above the most stable polymorph in this dataset**: 0.000 eV/atom

***

4.
! PBE Na3Er2BiTe6, optimized geometry; values from VASP
&SYSTEM
  ibrav = 0, nat = 12, ntyp = 4
/
ATOMIC_SPECIES
Na 22.99 Na.upf
Er 167.26 Er.upf
Bi 208.98 Bi.upf
Te 127.60 Te.upf
ATOMIC_POSITIONS angstrom
Na 0.0000 0.0000 0.0000
Na 3.8491 2.1441 0.0000
Na 3.8491 -2.1441 0.0000
Er 2.5638 4.4331 3.7873
Er 2.5638 -4.4331 3.7873
Bi 2.5638 0.0000 3.7873
Te 1.2541 2.2654 2.0271
Te -0.0569 0.0000 5.5305
Te 1.2541 -2.2654 2.0271
Te 3.8735 2.2654 5.5475
Te 5.1845 0.0000 2.0441
Te 3.8735 -2.2654 5.5475
CELL_PARAMETERS angstrom
3.8491 -6.6688 0.0000
3.8491 6.6688 0.0000
-2.5706 0.0000 7.5746
! **Space-group type**: C2/m (12)
! **Calculated volume**: 388.9 Å³/f.u.
! **E_tot**: -4.0298 eV/atom

***

5.
! PBE LiMnZn2Rh, optimized geometry; values from VASP
&SYSTEM
  ibrav = 0, nat = 5, ntyp = 4
/
ATOMIC_SPECIES
Li 6.94 Li.upf
Mn 54.94 Mn.upf
Zn 65.41 Zn.upf
Rh 102.91 Rh.upf
ATOMIC_POSITIONS angstrom
Li 0.0000 0.0000 0.0000
Mn 2.0967 2.0967 2.1012
Zn 0.0000 2.0967 0.0000
Zn 2.0967 0.0000 0.0000
Rh 0.0000 0.0000 2.1012
CELL_PARAMETERS angstrom
4.1934 0.0000 0.0000
0.0000 4.1934 0.0000
0.0000 0.0000 4.2025
! **Space-group type**: P4/mmm (123)
! **Calculated volume**: 73.9 Å³/f.u.
! **Formation enthalpy at 0 K**: 0.450 eV/atom

***

6.
! PBE Mg3In5Sn3, optimized geometry; values from VASP
&SYSTEM
  ibrav = 0, nat = 11, ntyp = 3
/
ATOMIC_SPECIES
Mg 24.30 Mg.upf
In 114.82 In.upf
Sn 118.71 Sn.upf
ATOMIC_POSITIONS angstrom
Mg -2.2235 3.8512 0.0000
Mg 4.4470 0.0000 0.0000
Mg 3.0495 5.2819 0.0000
In -3.5016 6.0649 1.5525
In 0.0000 6.0888 1.5525
In 1.7715 3.0682 1.5525
In 7.0031 0.0000 1.5525
In 5.2730 3.0444 1.5525
Sn -0.9413 1.6304 1.5525
Sn 1.8826 0.0000 1.5525
Sn 4.3317 7.5028 1.5525
CELL_PARAMETERS angstrom
10.5460 0.0000 0.0000
-5.2730 9.1331 0.0000
0.0000 0.0000 3.1050
! **Space-group type**: P-62m (189)
! **Calculated volume**: 299.1 Å³/f.u.
! **Formation enthalpy at 0 K**: 0.038 eV/atom

***

Record order is preserved below.
N(E_F): 4.446; 3.943; 13.798; 0.000; 2.849; 4.463 states/eV per cell